The following is a PBE calculation of Ac3TlIn2Pd8 after structural relaxation, from the Alexandria database.

Calculated values
density: 10.39 g/cm³
DFT formation energy: -0.5690 eV/atom
spin magnetization: 0.000 μB per cell
E: -69.677 eV/cell

a = 5.711 Å, b = 5.711 Å, c = 11.127 Å
α = 90.00°, β = 90.00°, γ = 120.00°
Positions (direct):
Pd 0.667 0.333 0.137
Pd 0.834 0.166 0.710
Pd 0.166 0.331 0.290
Pd 0.331 0.166 0.710
Pd 0.166 0.834 0.290
Pd 0.834 0.669 0.710
Pd 0.333 0.667 0.863
Pd 0.669 0.834 0.290
Ac 0.333 0.667 0.598
Ac 0.667 0.333 0.402
Ac 0.000 0.000 0.000
In 0.667 0.333 0.900
In 0.333 0.667 0.100
Tl 0.000 0.000 0.500